Entry 1:
The following is a GGA-PBE calculation of a geometry-optimized Li2IrPtC structure, from the Alexandria database.

The value obtained for the density of states at the Fermi level is 1.6945 states/eV/atom. For the formation energy, the calculation gives 0.97 eV/atom.

a = 4.7087 Å, b = 3.7584 Å, c = 4.7087 Å
α = 90.00°, β = 90.00°, γ = 90.00°
With the nearest neighbours (Å) after each atom.
Atoms (fractional coordinates):
Ir 0.5000 0.5000 0.5000  8 Li 3.01, 4 C 3.33
Pt 0.0000 0.0000 0.0000  2 C 1.88
Li 0.5000 0.0000 0.0000  2 Pt 2.35
Li 0.0000 0.0000 0.5000  2 Pt 2.35
C 0.0000 0.5000 0.0000  2 Pt 1.88

=====

Entry 2:
The following is a GGA-PBE calculation of a geometry-optimized RbLiIr2C structure, from the Alexandria database.

The value obtained for the density of states at the Fermi level is 1.0196 states/eV/atom. For the formation energy, the calculation gives 2.11 eV/atom.

a = 4.4558 Å, b = 4.1716 Å, c = 4.4558 Å
α = 90.00°, β = 90.00°, γ = 90.00°
With the nearest neighbours (Å) after each atom.
Atoms (fractional coordinates):
Rb 0.5000 0.5000 0.5000  8 Ir 3.05, 4 C 3.15
Ir 0.0000 0.0000 0.5000  2 Li 2.23
Ir 0.5000 0.0000 0.0000  2 Li 2.23
Li 0.0000 0.0000 0.0000  2 C 2.09, 4 Ir 2.23
C 0.0000 0.5000 0.0000  2 Li 2.09

=====

Entry 3:
The following is a GGA-PBE calculation of a geometry-optimized Li2ScIrC structure, from the Alexandria database.

The value obtained for the density of states at the Fermi level is 0.6063 states/eV/atom. For the formation energy, the calculation gives 0.35 eV/atom.

a = 4.5066 Å, b = 3.8811 Å, c = 4.5066 Å
α = 90.00°, β = 90.00°, γ = 90.00°
With the nearest neighbours (Å) after each atom.
Atoms (fractional coordinates):
Ir 0.0000 0.0000 0.0000  2 C 1.94
Li 0.5000 0.0000 0.0000  2 Ir 2.25
Li 0.0000 0.0000 0.5000  2 Ir 2.25
C 0.0000 0.5000 0.0000  2 Ir 1.94
Sc 0.5000 0.5000 0.5000  8 Li 2.97, 4 C 3.19

=====

Entry 4:
The following is a GGA-PBE calculation of a geometry-optimized Li2IrCSe structure, from the Alexandria database.

The calculation puts the formation energy without anion corrections at -0.117 eV per atom. The value obtained for the density of states at the Fermi level is 0.1819 states/eV/atom.

a = 4.1735 Å, b = 4.1735 Å, c = 3.8803 Å
α = 90.00°, β = 90.00°, γ = 90.00°
With the nearest neighbours (Å) after each atom.
Atoms (fractional coordinates):
Li 0.0000 0.5000 0.0000  2 C 2.09
Li 0.5000 0.0000 0.0000  2 C 2.09
Se 0.5000 0.5000 0.5000  8 Li 2.85, 4 Ir 2.95
Ir 0.0000 0.0000 0.5000  2 C 1.94
C 0.0000 0.0000 0.0000  2 Ir 1.94, 4 Li 2.09

=====

Entry 5:
The following is a GGA-PBE calculation of a geometry-optimized SrLiIr2C structure, from the Alexandria database.

The value obtained for the density of states at the Fermi level is 0.1771 states/eV/atom. For the formation energy, the calculation gives -0.09 eV/atom.

a = 4.1197 Å, b = 4.1197 Å, c = 4.6485 Å
α = 90.00°, β = 90.00°, γ = 90.00°
With the nearest neighbours (Å) after each atom.
Atoms (fractional coordinates):
C 0.0000 0.0000 0.0000  4 Ir 2.06
Ir 0.0000 0.5000 0.0000  2 C 2.06
Ir 0.5000 0.0000 0.0000  2 C 2.06
Li 0.0000 0.0000 0.5000  2 C 2.32
Sr 0.5000 0.5000 0.5000  4 Li 2.91, 8 Ir 3.11

=====

Entry 6:
The following is a GGA-PBE calculation of a geometry-optimized Sr2LiIrC structure, from the Alexandria database.

The value obtained for the density of states at the Fermi level is 0.5591 states/eV/atom. For the formation energy, the calculation gives -0.11 eV/atom.

a = 5.5551 Å, b = 5.5551 Å, c = 3.9097 Å
α = 90.00°, β = 90.00°, γ = 90.00°
With the nearest neighbours (Å) after each atom.
Atoms (fractional coordinates):
Li 0.5000 0.5000 0.5000  8 Sr 3.40
C 0.0000 0.0000 0.0000  2 Ir 1.95
Sr 0.0000 0.5000 0.0000  2 C 2.78
Sr 0.5000 0.0000 0.0000  2 C 2.78
Ir 0.0000 0.0000 0.5000  2 C 1.95

=====

Entry 7:
The following is a GGA-PBE calculation of a geometry-optimized LiTeIrC2 structure, from the Alexandria database.

The calculation puts the formation energy without anion corrections at 2.350 eV per atom. The value obtained for the density of states at the Fermi level is 0.6112 states/eV/atom.

a = 3.8360 Å, b = 4.8543 Å, c = 3.8360 Å
α = 90.00°, β = 90.00°, γ = 90.00°
With the nearest neighbours (Å) after each atom.
Atoms (fractional coordinates):
Ir 0.5000 0.5000 0.5000  4 Te 2.71
C 0.5000 0.0000 0.0000  2 Li 1.92
C 0.0000 0.0000 0.5000  2 Li 1.92
Li 0.0000 0.0000 0.0000  4 C 1.92
Te 0.0000 0.5000 0.0000  2 Li 2.43, 4 Ir 2.71

=====

Entry 8:
The following is a GGA-PBE calculation of a geometry-optimized Li2TlIrC structure, from the Alexandria database.

The value obtained for the density of states at the Fermi level is 0.2250 states/eV/atom. For the formation energy, the calculation gives 0.01 eV/atom.

a = 4.3822 Å, b = 4.3822 Å, c = 3.8720 Å
α = 90.00°, β = 90.00°, γ = 90.00°
With the nearest neighbours (Å) after each atom.
Atoms (fractional coordinates):
Li 0.0000 0.5000 0.0000  2 C 2.19
Li 0.5000 0.0000 0.0000  2 C 2.19
Ir 0.0000 0.0000 0.5000  2 C 1.94
C 0.0000 0.0000 0.0000  2 Ir 1.94
Tl 0.5000 0.5000 0.5000  8 Li 2.92, 4 Ir 3.10

=====

Entry 9:
The following is a GGA-PBE calculation of a geometry-optimized LiY2IrC structure, from the Alexandria database.

The value obtained for the density of states at the Fermi level is 0.4804 states/eV/atom. For the formation energy, the calculation gives -0.44 eV/atom.

a = 5.0123 Å, b = 5.0123 Å, c = 3.8962 Å
α = 90.00°, β = 90.00°, γ = 90.00°
With the nearest neighbours (Å) after each atom.
Atoms (fractional coordinates):
Ir 0.0000 0.0000 0.5000  2 C 1.95
C 0.0000 0.0000 0.0000  2 Ir 1.95
Y 0.5000 0.0000 0.0000  2 C 2.51
Y 0.0000 0.5000 0.0000  2 C 2.51
Li 0.5000 0.5000 0.5000  8 Y 3.17, 4 Ir 3.54

=====

Entry 10:
The following is a GGA-PBE calculation of a geometry-optimized LiYIr2C structure, from the Alexandria database.

The value obtained for the density of states at the Fermi level is 0.4992 states/eV/atom. For the formation energy, the calculation gives -0.27 eV/atom.

a = 4.1103 Å, b = 4.1103 Å, c = 4.3842 Å
α = 90.00°, β = 90.00°, γ = 90.00°
With the nearest neighbours (Å) after each atom.
Atoms (fractional coordinates):
Ir 0.0000 0.5000 0.0000  2 C 2.06
Ir 0.5000 0.0000 0.0000  2 C 2.06
Li 0.0000 0.0000 0.5000  2 C 2.19
C 0.0000 0.0000 0.0000  4 Ir 2.06, 2 Li 2.19
Y 0.5000 0.5000 0.5000  4 Li 2.91, 8 Ir 3.00

=====

Entry 11:
The following is a GGA-PBE calculation of a geometry-optimized LiZrIrC2 structure, from the Alexandria database.

The value obtained for the density of states at the Fermi level is 1.0497 states/eV/atom. For the formation energy, the calculation gives 2.20 eV/atom.

a = 4.1504 Å, b = 4.6501 Å, c = 4.1504 Å
α = 90.00°, β = 90.00°, γ = 90.00°
With the nearest neighbours (Å) after each atom.
Atoms (fractional coordinates):
C 0.0000 0.0000 0.5000  2 Zr 2.08
C 0.5000 0.0000 0.0000  2 Zr 2.08
Li 0.0000 0.5000 0.0000  2 Zr 2.33
Zr 0.0000 0.0000 0.0000  4 C 2.08
Ir 0.5000 0.5000 0.5000  4 Li 2.93, 8 C 3.12

=====

Entry 12:
The following is a GGA-PBE calculation of a geometry-optimized Lu2IrC structure, from the Alexandria database.

The value obtained for the density of states at the Fermi level is 0.2712 states/eV/atom. For the formation energy, the calculation gives 0.06 eV/atom.

a = 3.3617 Å, b = 3.3617 Å, c = 8.0723 Å
α = 77.98°, β = 77.98°, γ = 60.00°
With the nearest neighbours (Å) after each atom.
Atoms (fractional coordinates):
Lu 0.8896 0.8896 0.3311  3 C 2.35, 1 Ir 2.59
Lu 0.1104 0.1104 0.6689  3 C 2.35, 1 Ir 2.59
Ir 0.0000 0.0000 0.0000  2 Lu 2.59
C 0.5000 0.5000 0.5000  6 Lu 2.35

=====

Entry 13:
The following is a GGA-PBE calculation of a geometry-optimized Mg2IrC structure, from the Alexandria database.

The value obtained for the density of states at the Fermi level is 0.2282 states/eV/atom. For the formation energy, the calculation gives 0.10 eV/atom.

a = 8.5928 Å, b = 8.5928 Å, c = 6.3799 Å
α = 47.67°, β = 47.67°, γ = 90.00°
With the nearest neighbours (Å) after each atom.
Atoms (fractional coordinates):
Mg 0.4482 0.1250 0.2500  2 C 2.29
Mg 0.3750 0.5518 0.7500  2 C 2.29
Mg 0.8750 0.6982 0.7500  2 C 2.29
Mg 0.3018 0.6250 0.2500  2 C 2.29
C 0.5000 0.5000 0.0000  2 Ir 1.95
C 0.2500 0.7500 0.5000  2 Ir 1.95
Ir 0.7500 0.2500 0.5000  2 C 1.95
Ir 0.0000 0.0000 0.0000  2 C 1.95

=====

Entry 14:
The following is a GGA-PBE calculation of a geometry-optimized Mg3IrC structure, from the Alexandria database.

The value obtained for the density of states at the Fermi level is 0.9011 states/eV/atom. As for the excess energy over the best structure of this formula in the dataset: 0.00 kcal/mol of atoms. For the formation energy, the calculation gives 0.34 eV/atom.

a = 4.2827 Å, b = 4.2827 Å, c = 4.2827 Å
α = 90.00°, β = 90.00°, γ = 90.00°
With the nearest neighbours (Å) after each atom.
Atoms (fractional coordinates):
Mg 0.0000 0.5000 0.0000  2 C 2.14
Mg 0.5000 0.0000 0.0000  2 C 2.14
Mg 0.0000 0.0000 0.5000  2 C 2.14
C 0.0000 0.0000 0.0000  6 Mg 2.14
Ir 0.5000 0.5000 0.5000  12 Mg 3.03